Computed, not measured: a relaxed CaMg2B2O6 crystal at the PBE level of DFT.

Cell lengths 5.128, 5.128, 5.858 Å; angles 90.00, 90.00, 120.00 degrees
Positions (direct):
Ca: 0.000 0.000 0.000
Mg: 0.333 0.667 0.342
Mg: 0.667 0.333 0.658
B: 0.333 0.667 0.767
B: 0.667 0.333 0.233
O: 0.060 0.659 0.754
O: 0.341 0.401 0.754
O: 0.401 0.060 0.246
O: 0.599 0.940 0.754
O: 0.659 0.599 0.246
O: 0.940 0.341 0.246

Properties
Uncorrected formation energy, meV per atom: -2597
Volume, Å³/atom: 12.1



Computed, not measured: a relaxed HoGeRh2 crystal at the PBE level of DFT.

Cell lengths 5.698, 6.989, 3.887 Å; angles 90.00, 90.00, 90.00 degrees
Positions (direct):
Ho: 0.000 0.000 0.000
Ho: 0.500 0.500 0.000
Ge: 0.000 0.500 0.000
Ge: 0.500 0.000 0.000
Rh: 0.000 0.297 0.500
Rh: 0.000 0.703 0.500
Rh: 0.500 0.203 0.500
Rh: 0.500 0.797 0.500

Properties
Volume, Å³/atom: 19.3
DFT formation energy, eV per formula unit: -1.244



Computed, not measured: a relaxed LaSnAu crystal at the PBE level of DFT.

Cell lengths 4.820, 4.820, 7.889 Å; angles 90.00, 90.00, 120.00 degrees
Positions (direct):
La: 0.000 0.000 0.000
La: 0.000 0.000 0.500
Sn: 0.333 0.667 0.277
Sn: 0.667 0.333 0.777
Au: 0.333 0.667 0.694
Au: 0.667 0.333 0.194

Properties
Volume, Å³/atom: 26.4
DFT formation energy, eV per formula unit: -2.620



Computed, not measured: a relaxed NaSrSc2Cu crystal at the PBE level of DFT.

Cell lengths 5.144, 5.144, 5.995 Å; angles 90.00, 90.00, 90.00 degrees
Positions (direct):
Na: 0.000 0.000 0.000
Sr: 0.500 0.500 0.000
Sc: 0.000 0.500 0.500
Sc: 0.500 0.000 0.500
Cu: 0.500 0.500 0.500

Properties
Volume, Å³/atom: 31.7
DFT formation energy, eV per formula unit: 1.369



Computed, not measured: a relaxed Cd2InPb crystal at the PBE level of DFT.

Cell lengths 4.522, 4.522, 21.981 Å; angles 90.00, 90.00, 90.00 degrees
Positions (direct):
Cd: 0.238 0.250 0.125
Cd: 0.250 0.738 0.375
Cd: 0.250 0.762 0.875
Cd: 0.262 0.250 0.625
Cd: 0.738 0.750 0.625
Cd: 0.750 0.238 0.875
Cd: 0.750 0.262 0.375
Cd: 0.762 0.750 0.125
In: 0.000 0.000 0.000
In: 0.000 0.500 0.250
In: 0.500 0.000 0.750
In: 0.500 0.500 0.500
Pb: 0.000 0.000 0.500
Pb: 0.000 0.500 0.750
Pb: 0.500 0.000 0.250
Pb: 0.500 0.500 0.000

Properties
Volume, Å³/atom: 28.1
DFT formation energy, eV per formula unit: 0.397



Computed, not measured: a relaxed LaBe2Se crystal at the PBE level of DFT.

Cell lengths 4.240, 4.353, 4.366 Å; angles 90.00, 90.00, 90.00 degrees
Positions (direct):
La: 0.000 0.000 0.000
Be: 0.245 0.500 0.500
Be: 0.755 0.500 0.500
Se: 0.500 0.500 0.000

Properties
Uncorrected formation energy, meV per atom: -280
Volume, Å³/atom: 20.1



Computed, not measured: a relaxed Sc2MoPt crystal at the PBE level of DFT.

Cell lengths 3.555, 3.555, 5.911 Å; angles 90.00, 90.00, 90.00 degrees
Positions (direct):
Sc: 0.000 0.000 0.000
Sc: 0.500 0.500 0.325
Mo: 0.000 0.000 0.520
Pt: 0.500 0.500 0.804

Properties
Volume, Å³/atom: 18.7
DFT formation energy, eV per formula unit: -0.827



Computed, not measured: a relaxed YHoBe crystal at the PBE level of DFT.

Cell lengths 3.460, 3.460, 12.017 Å; angles 90.00, 90.00, 90.00 degrees
Positions (direct):
Y: 0.000 0.000 0.000
Y: 0.500 0.500 0.500
Ho: 0.000 0.000 0.270
Ho: 0.500 0.500 0.770
Be: 0.000 0.000 0.637
Be: 0.500 0.500 0.137

Properties
Volume, Å³/atom: 24.0
DFT formation energy, eV per formula unit: 0.224



Computed, not measured: a relaxed KReS3 crystal at the PBE level of DFT.

Cell lengths 5.087, 5.087, 5.087 Å; angles 90.00, 90.00, 90.00 degrees
Positions (direct):
K: 0.000 0.000 0.000
Re: 0.500 0.500 0.500
S: 0.000 0.000 0.500
S: 0.000 0.500 0.000
S: 0.500 0.000 0.000

Properties
Uncorrected formation energy, meV per atom: 2537
Volume, Å³/atom: 26.3



Computed, not measured: a relaxed PrPuCuOs crystal at the PBE level of DFT.

Cell lengths 6.999, 6.999, 6.999 Å; angles 90.00, 90.00, 90.00 degrees
Positions (direct):
Pr: 0.000 0.000 0.000
Pr: 0.000 0.500 0.500
Pr: 0.500 0.000 0.500
Pr: 0.500 0.500 0.000
Pu: 0.000 0.000 0.500
Pu: 0.000 0.500 0.000
Pu: 0.500 0.000 0.000
Pu: 0.500 0.500 0.500
Cu: 0.250 0.250 0.750
Cu: 0.250 0.750 0.250
Cu: 0.750 0.250 0.250
Cu: 0.750 0.750 0.750
Os: 0.250 0.250 0.250
Os: 0.250 0.750 0.750
Os: 0.750 0.250 0.750
Os: 0.750 0.750 0.250

Properties
Volume, Å³/atom: 21.4
DFT formation energy, eV per formula unit: 0.258



Computed, not measured: a relaxed CdRu crystal at the PBE level of DFT.

Cell lengths 4.267, 9.911, 6.982 Å; angles 90.00, 90.00, 90.00 degrees
Positions (direct):
Cd: 0.000 0.163 0.078
Cd: 0.000 0.337 0.578
Cd: 0.000 0.663 0.422
Cd: 0.000 0.837 0.922
Cd: 0.500 0.163 0.422
Cd: 0.500 0.337 0.922
Cd: 0.500 0.663 0.078
Cd: 0.500 0.837 0.578
Ru: 0.000 0.054 0.657
Ru: 0.000 0.446 0.157
Ru: 0.000 0.554 0.843
Ru: 0.000 0.946 0.343
Ru: 0.500 0.054 0.843
Ru: 0.500 0.446 0.343
Ru: 0.500 0.554 0.657
Ru: 0.500 0.946 0.157

Properties
Volume, Å³/atom: 18.5
DFT formation energy, eV per formula unit: 0.622



Computed, not measured: a relaxed GaCu8Pt2 crystal at the PBE level of DFT.

Cell lengths 6.546, 6.546, 4.422 Å; angles 101.42, 101.42, 59.57 degrees
Positions (direct):
Ga: 0.000 0.000 0.000
Cu: 0.240 0.240 0.100
Cu: 0.253 0.618 0.215
Cu: 0.360 0.360 0.671
Cu: 0.382 0.747 0.785
Cu: 0.618 0.253 0.215
Cu: 0.640 0.640 0.329
Cu: 0.747 0.382 0.785
Cu: 0.760 0.760 0.900
Pt: 0.129 0.129 0.534
Pt: 0.871 0.871 0.466

Properties
Volume, Å³/atom: 14.5
DFT formation energy, eV per formula unit: 1.039